(1)
Compound: Ba2ReNiO6
Source: the Alexandria database
Functional: meta-GGA SCAN
Structure: single point on PBEsol structure

Geometry as CIF:
```
data_Ba2ReNiO6
_cell_length_a 8.039
_cell_length_b 8.039
_cell_length_c 8.039
_cell_angle_alpha 90.00
_cell_angle_beta 90.00
_cell_angle_gamma 90.00
_space_group_name_H-M_alt 'F m -3 m'
_space_group_IT_number 225
_space_group_name_Hall '-F 4 2 3'
loop_
_atom_site_label
_atom_site_type_symbol
_atom_site_fract_x
_atom_site_fract_y
_atom_site_fract_z
_atom_site_occupancy
Ba1 Ba 0.250 0.250 0.250 1
Re1 Re 0.000 0.000 0.000 1
Ni1 Ni 0.000 0.000 0.500 1
O1 O 0.000 0.000 0.239 1
```

(2)
Compound: Ba4Re2NiO12
Source: the Alexandria database
Functional: meta-GGA SCAN
Structure: single point on PBEsol structure

Geometry as CIF:
```
data_Ba4Re2NiO12
_cell_length_a 5.7342
_cell_length_b 5.7342
_cell_length_c 27.9722
_cell_angle_alpha 90.00
_cell_angle_beta 90.00
_cell_angle_gamma 120.00
_space_group_name_H-M_alt 'R 3 m'
_space_group_IT_number 160
_space_group_name_Hall 'R 3 -2"'
loop_
_atom_site_label
_atom_site_type_symbol
_atom_site_fract_x
_atom_site_fract_y
_atom_site_fract_z
_atom_site_occupancy
Ba1 Ba 0.0000 0.0000 0.0000 1
Ba2 Ba 0.0000 0.0000 0.1613 1
Ba3 Ba 0.0000 0.0000 0.4118 1
Ba4 Ba 0.0000 0.0000 0.5740 1
Re1 Re 0.0000 0.0000 0.2866 1
Re2 Re 0.0000 0.0000 0.7802 1
Ni1 Ni 0.0000 0.0000 0.8760 1
O1 O 0.0145 0.5072 0.4141 1
O2 O 0.0258 0.5129 0.9900 1
O3 O 0.1744 0.3487 0.9121 1
O4 O 0.1818 0.3637 0.4926 1
```

(3)
Compound: BaSm2NiO5
Source: the Alexandria database
Functional: meta-GGA SCAN
Structure: single point on PBEsol structure

Geometry as CIF:
```
data_BaSm2NiO5
_cell_length_a 3.763
_cell_length_b 5.821
_cell_length_c 11.468
_cell_angle_alpha 90.00
_cell_angle_beta 90.00
_cell_angle_gamma 90.00
_space_group_name_H-M_alt 'I m m m'
_space_group_IT_number 71
_space_group_name_Hall '-I 2 2'
loop_
_atom_site_label
_atom_site_type_symbol
_atom_site_fract_x
_atom_site_fract_y
_atom_site_fract_z
_atom_site_occupancy
Ba1 Ba 0.000 0.000 0.000 1
Sm1 Sm 0.000 0.500 0.202 1
Ni1 Ni 0.000 0.000 0.500 1
O1 O 0.000 0.240 0.355 1
O2 O 0.000 0.500 0.000 1
```

(4)
Compound: BaSrV4Ni4O16
Source: the Alexandria database
Functional: meta-GGA SCAN
Structure: single point on PBEsol structure

Geometry as CIF:
```
data_BaSrV4Ni4O16
_cell_length_a 12.118
_cell_length_b 12.118
_cell_length_c 8.216
_cell_angle_alpha 90.00
_cell_angle_beta 90.00
_cell_angle_gamma 90.00
_space_group_name_H-M_alt 'I -4 c 2'
_space_group_IT_number 120
_space_group_name_Hall 'I -4 -2c'
loop_
_atom_site_label
_atom_site_type_symbol
_atom_site_fract_x
_atom_site_fract_y
_atom_site_fract_z
_atom_site_occupancy
Ba1 Ba 0.000 0.000 0.000 1
Sr1 Sr 0.000 0.500 0.250 1
V1 V 0.081 0.253 0.374 1
Ni1 Ni 0.167 0.333 0.000 1
Ni2 Ni 0.168 0.168 0.750 1
O1 O 0.003 0.343 0.975 1
O2 O 0.004 0.164 0.771 1
O3 O 0.162 0.175 0.508 1
O4 O 0.162 0.329 0.240 1
```

(5)
Compound: Ba4Ta10NiO30
Source: the Alexandria database
Functional: meta-GGA SCAN
Structure: single point on PBEsol structure

Geometry as CIF:
```
data_Ba4Ta10NiO30
_cell_length_a 7.791
_cell_length_b 10.201
_cell_length_c 15.126
_cell_angle_alpha 90.00
_cell_angle_beta 90.00
_cell_angle_gamma 90.00
_space_group_name_H-M_alt 'I m m 2'
_space_group_IT_number 44
_space_group_name_Hall 'I 2 -2'
loop_
_atom_site_label
_atom_site_type_symbol
_atom_site_fract_x
_atom_site_fract_y
_atom_site_fract_z
_atom_site_occupancy
Ba1 Ba 0.000 0.000 0.000 1
Ba2 Ba 0.000 0.000 0.404 1
Ba3 Ba 0.000 0.500 0.510 1
Ba4 Ba 0.000 0.500 0.918 1
Ta1 Ta 0.249 0.000 0.210 1
Ta2 Ta 0.249 0.185 0.582 1
Ta3 Ta 0.249 0.317 0.335 1
Ni1 Ni 0.000 0.500 0.180 1
O1 O 0.000 0.000 0.228 1
O2 O 0.000 0.164 0.836 1
O3 O 0.000 0.204 0.589 1
O4 O 0.000 0.299 0.360 1
O5 O 0.000 0.363 0.078 1
O6 O 0.000 0.500 0.692 1
O7 O 0.206 0.366 0.212 1
O8 O 0.213 0.000 0.542 1
O9 O 0.222 0.131 0.116 1
O10 O 0.228 0.253 0.963 1
O11 O 0.230 0.370 0.806 1
O12 O 0.235 0.500 0.383 1
```

(6)
Compound: BaTb2NiO5
Source: the Alexandria database
Functional: meta-GGA SCAN
Structure: single point on PBEsol structure

Geometry as CIF:
```
data_BaTb2NiO5
_cell_length_a 3.726
_cell_length_b 5.733
_cell_length_c 11.293
_cell_angle_alpha 90.00
_cell_angle_beta 90.00
_cell_angle_gamma 90.00
_space_group_name_H-M_alt 'I m m m'
_space_group_IT_number 71
_space_group_name_Hall '-I 2 2'
loop_
_atom_site_label
_atom_site_type_symbol
_atom_site_fract_x
_atom_site_fract_y
_atom_site_fract_z
_atom_site_occupancy
Ba1 Ba 0.000 0.000 0.000 1
Tb1 Tb 0.000 0.500 0.202 1
Ni1 Ni 0.000 0.000 0.500 1
O1 O 0.000 0.240 0.352 1
O2 O 0.000 0.500 0.000 1
```

Asked for ΔE_f (raw) across the records above, the calculation gives -2276, -2393, -3035, -2424, -3095, -3097 meV per atom in order.